Version P
6
Lattice="5.900 0.000 0.000 0.000 5.900 0.000 -2.950 -2.950 2.907" Properties=species:S:1:pos:R:3 comment="PBE NaBrF4, optimized geometry" sg=I-4 pbc="T T T"
Br 2.950 2.950 0.000
Na 2.950 0.000 1.454
F 4.305 4.329 0.001
F -1.380 1.355 2.907
F 1.380 -1.355 2.907
F 1.594 1.570 0.001


Version Q
12
Lattice="-4.136 4.221 3.180 -4.567 1.558 -4.663 2.016 -6.094 1.958" Properties=species:S:1:pos:R:3 comment="PBE NaBrF4, optimized geometry" sg=I4/mcm pbc="T T T"
F -0.687 -2.746 3.163
F -2.967 -1.232 2.774
F -6.622 2.273 0.345
F -4.342 0.759 0.733
F -0.065 -2.587 0.130
F -2.344 -1.073 -0.259
F -6.000 2.432 -2.688
F -3.720 0.917 -2.300
Na -2.176 1.445 -0.371
Na -6.527 4.335 -1.113
Br -1.060 -0.936 2.569
Br -1.275 -2.268 -1.353


Stability, highest: version Q


Version P
5
Lattice="4.654 0.000 0.000 0.000 4.654 0.000 0.000 0.000 6.319" Properties=species:S:1:pos:R:3 comment="PBE NaSrBrF2, optimized geometry" sg=P4/mmm pbc="T T T"
F 0.000 2.327 0.000
F 2.327 0.000 0.000
Sr 0.000 0.000 0.000
Br 0.000 0.000 3.159
Na 2.327 2.327 3.159


Version Q
5
Lattice="4.127 0.000 0.000 0.000 4.127 0.000 -2.063 -2.063 6.456" Properties=species:S:1:pos:R:3 comment="PBE NaSrBrF2, optimized geometry" sg=I4mm pbc="T T T"
Br 2.063 2.063 0.223
F 0.000 2.063 3.231
F 2.063 0.000 3.231
Na 2.063 2.063 4.226
Sr 0.000 0.000 2.000


Stability, highest: version Q


Version P
5
Lattice="-3.339 1.825 1.438 -1.144 -3.483 1.764 2.681 1.383 4.469" Properties=species:S:1:pos:R:3 comment="PBE NaZnBrF2, optimized geometry" sg=P4/mmm pbc="T T T"
F -0.572 -1.741 0.882
F -1.670 0.913 0.719
Br 1.340 0.692 2.234
Zn 0.000 0.000 0.000
Na -0.901 -0.137 3.836


Version Q
10
Lattice="-0.245 -3.272 2.508 4.529 -3.017 -3.493 5.071 3.121 4.567" Properties=species:S:1:pos:R:3 comment="PBE NaZnBrF2, optimized geometry" sg=P2_1/m pbc="T T T"
F 5.928 -4.161 0.252
F 5.001 -3.484 -2.356
F 4.354 0.316 5.937
F 3.427 0.993 3.330
Na 3.802 -1.193 3.916
Na 5.553 -1.975 -0.334
Br 3.132 -3.039 1.441
Br 6.223 -0.129 2.140
Zn 1.045 -2.293 2.211
Zn 8.310 -0.875 1.371


Stability, highest: version Q


Version P
5
Lattice="-4.733 -1.387 1.240 1.630 -1.457 4.592 -0.897 4.671 1.800" Properties=species:S:1:pos:R:3 comment="PBE NbBr3F, optimized geometry" sg=Pm-3m pbc="T T T"
Nb 0.000 0.000 0.000
Br -2.367 -0.693 0.620
Br 0.815 -0.728 2.296
Br -0.448 2.336 0.900
F -2.000 0.914 3.816


Version Q
5
Lattice="-3.867 -0.088 -2.872 -2.283 -2.829 3.162 -1.744 3.899 2.229" Properties=species:S:1:pos:R:3 comment="PBE NbBr3F, optimized geometry" sg=Pm-3m pbc="T T T"
Br -0.872 1.949 1.115
Br -1.934 -0.044 -1.436
Br -1.142 -1.414 1.581
F 0.000 0.000 0.000
Nb -3.947 0.491 1.259


Version R
20
Lattice="-4.159 -4.260 -0.166 6.594 -4.940 -6.172 3.551 -2.575 9.313" Properties=species:S:1:pos:R:3 comment="PBE NbBr3F, optimized geometry" sg=C2/c pbc="T T T"
Br 6.693 -8.906 1.790
Br 3.000 -9.449 -3.360
Br 6.107 -4.825 0.223
Br 8.445 -6.522 3.540
Br 3.084 -5.767 6.880
Br 2.986 -2.327 6.335
Br -2.460 -5.254 -0.566
Br 2.902 -6.009 -3.905
Br 3.394 -6.462 3.368
Br 2.592 -5.314 -0.393
Br -0.707 -2.869 1.184
Br -0.121 -6.951 2.752
F 1.526 -8.169 5.463
F 0.931 -4.610 4.803
F 4.460 -3.606 -2.488
F 5.055 -7.166 -1.828
Nb 4.667 -5.316 -1.697
Nb 3.338 -8.029 -5.601
Nb 2.648 -3.746 8.576
Nb 1.319 -6.460 4.672


Stability, highest: version R


Version P
4
Lattice="-6.984 3.869 3.393 -7.727 0.453 3.917 -5.658 2.183 6.203" Properties=species:S:1:pos:R:3 comment="PBE NbBr2F, optimized geometry" sg=R-3m pbc="T T T"
Br -18.456 5.894 12.244
Br -1.913 0.611 1.269
Nb 0.000 0.000 0.000
F -10.184 3.252 6.757


Version Q
4
Lattice="2.746 -3.566 1.137 3.209 0.507 3.316 -0.534 -2.128 4.091" Properties=species:S:1:pos:R:3 comment="PBE NbBr2F, optimized geometry" sg=Fm-3m pbc="T T T"
F 0.000 0.000 0.000
Br 1.355 -1.297 2.136
Br 4.066 -3.890 6.408
Nb 2.711 -2.594 4.272


Version R
4
Lattice="-1.908 1.975 -2.083 -3.075 0.000 2.817 2.038 7.475 2.386" Properties=species:S:1:pos:R:3 comment="PBE NbBr2F, optimized geometry" sg=P-1 pbc="T T T"
Br -3.254 2.628 2.622
Br 0.310 6.822 0.499
Nb 0.130 9.450 0.304
F 0.500 7.476 3.795


Stability, highest: version R


Version P
5
Lattice="-2.775 -2.461 2.320 -0.473 -2.690 -3.418 4.155 -3.001 1.786" Properties=species:S:1:pos:R:3 comment="PBE NbSe2BrF, optimized geometry" sg=P4/mmm pbc="T T T"
Nb 0.453 -4.076 0.344
F 0.000 0.000 0.000
Se -0.237 -1.345 -1.709
Se -1.388 -1.230 1.160
Br 2.077 -1.500 0.893


Version Q
5
Lattice="-0.651 -1.092 4.812 3.253 -3.745 -0.410 3.840 3.200 1.246" Properties=species:S:1:pos:R:3 comment="PBE NbSe2BrF, optimized geometry" sg=P4/mmm pbc="T T T"
Nb 0.000 0.000 0.000
Br 1.920 1.600 0.623
F 3.221 -0.819 2.824
Se 1.627 -1.872 -0.205
Se -0.326 -0.546 2.406


Stability, highest: version Q